[1]
Density functional theory data (PBE) for a relaxed V2SiSb crystal.

Values from the calculation:
E_form (uncorrected)	55	meV per atom

Cell and atoms, written as POSCAR:
```
V2SiSb
1.0
3.533 0.000 0.000
-1.766 3.060 0.000
0.000 0.000 19.053
V Si Sb
6 3 3
direct
0.000 0.000 0.232 V
0.000 0.000 0.768 V
0.333 0.667 0.435 V
0.333 0.667 0.898 V
0.667 0.333 0.102 V
0.667 0.333 0.565 V
0.000 0.000 0.500 Si
0.333 0.667 0.167 Si
0.667 0.333 0.833 Si
0.000 0.000 0.000 Sb
0.333 0.667 0.667 Sb
0.667 0.333 0.333 Sb
```

***

[2]
Density functional theory data (PBE) for a relaxed InBr2N2 crystal.

Values from the calculation:
E_form (uncorrected)	-94	meV per atom

Cell and atoms, written as POSCAR:
```
InBr2N2
1.0
5.554 0.000 0.000
0.000 5.554 0.000
0.000 0.000 7.608
In Br N
2 4 4
direct
0.000 0.000 0.000 In
0.500 0.500 0.500 In
0.000 0.500 0.250 Br
0.000 0.500 0.750 Br
0.500 0.000 0.250 Br
0.500 0.000 0.750 Br
0.000 0.000 0.427 N
0.000 0.000 0.573 N
0.500 0.500 0.073 N
0.500 0.500 0.927 N
```

***

[3]
Density functional theory data (PBE) for a relaxed CsC2 crystal.

Values from the calculation:
DFT formation energy	335.6	kJ/mol of atoms

Cell and atoms, written as POSCAR:
```
CsC2
1.0
0.000 3.778 3.778
3.778 0.000 3.778
3.778 3.778 0.000
Cs C
2 4
direct
0.125 0.125 0.125 Cs
0.875 0.875 0.875 Cs
0.000 0.500 0.500 C
0.500 0.000 0.500 C
0.500 0.500 0.000 C
0.500 0.500 0.500 C
```

***

[4]
Density functional theory data (PBE) for a relaxed Cd5As3 crystal.

Values from the calculation:
DFT formation energy	11.0	kJ/mol of atoms

Cell and atoms, written as POSCAR:
```
Cd5As3
1.0
8.700 0.000 0.000
-4.350 7.535 0.000
0.000 0.000 5.758
Cd As
10 6
direct
0.000 0.281 0.250 Cd
0.000 0.719 0.750 Cd
0.281 0.000 0.250 Cd
0.281 0.281 0.750 Cd
0.333 0.667 0.000 Cd
0.333 0.667 0.500 Cd
0.667 0.333 0.000 Cd
0.667 0.333 0.500 Cd
0.719 0.000 0.750 Cd
0.719 0.719 0.250 Cd
0.000 0.347 0.750 As
0.000 0.653 0.250 As
0.347 0.000 0.750 As
0.347 0.347 0.250 As
0.653 0.000 0.250 As
0.653 0.653 0.750 As
```